Record 1
An optimized crystal structure of CaErTm2, computed with PBE.

Calculated values
Formation energy from the elements ... 0.17 eV per atom
Magnetic moment ... 0.0000 μB/atom
Energy above the lowest structure with this stoichiometry ... 97 meV per atom

The structure in CIF format:
```
data_CaErTm2
_cell_length_a 3.5050
_cell_length_b 3.5050
_cell_length_c 37.0806
_cell_angle_alpha 90.00
_cell_angle_beta 90.00
_cell_angle_gamma 120.00
_space_group_name_H-M_alt 'R -3 m'
_space_group_IT_number 166
_space_group_name_Hall '-R 3 2"'
loop_
_atom_site_label
_atom_site_type_symbol
_atom_site_fract_x
_atom_site_fract_y
_atom_site_fract_z
Ca1 Ca 0.0000 0.0000 0.0000
Er1 Er 0.0000 0.0000 0.5000
Tm1 Tm 0.0000 0.0000 0.0914
```

Record 2
An optimized crystal structure of CsBaClF2, computed with PBE.

Calculated values
Uncorrected formation energy ... -2.968 eV/atom
Magnetic moment ... 0.0000 μB/atom

The structure in CIF format:
```
data_CsBaClF2
_cell_length_a 5.1119
_cell_length_b 5.1119
_cell_length_c 6.2547
_cell_angle_alpha 90.00
_cell_angle_beta 90.00
_cell_angle_gamma 90.00
_space_group_name_H-M_alt 'P 4/m m m'
_space_group_IT_number 123
_space_group_name_Hall '-P 4 2'
loop_
_atom_site_label
_atom_site_type_symbol
_atom_site_fract_x
_atom_site_fract_y
_atom_site_fract_z
Cs1 Cs 0.0000 0.0000 0.0000
Ba1 Ba 0.5000 0.5000 0.5000
Cl1 Cl 0.5000 0.5000 0.0000
F1 F 0.0000 0.5000 0.5000
```

Record 3
An optimized crystal structure of TbDyMgAg, computed with PBE.

Calculated values
Formation energy from the elements ... -0.19 eV per atom
Magnetic moment ... 0.0000 μB/atom
Energy above the lowest structure with this stoichiometry ... 0 meV per atom

The structure in CIF format:
```
data_TbDyMgAg
_cell_length_a 3.7330
_cell_length_b 3.7330
_cell_length_c 7.3206
_cell_angle_alpha 90.00
_cell_angle_beta 90.00
_cell_angle_gamma 90.00
_space_group_name_H-M_alt 'P 4 m m'
_space_group_IT_number 99
loop_
_space_group_symop_operation_xyz
'x,y,z'
'-y,x,z'
'-x,-y,z'
'y,-x,z'
'-x,y,z'
'y,x,z'
'x,-y,z'
'-y,-x,z'
loop_
_atom_site_label
_atom_site_type_symbol
_atom_site_fract_x
_atom_site_fract_y
_atom_site_fract_z
Tb1 Tb 0.0000 0.0000 0.0000
Dy1 Dy 0.0000 0.0000 0.4827
Mg1 Mg 0.5000 0.5000 0.7400
Ag1 Ag 0.5000 0.5000 0.2440
```

Record 4
An optimized crystal structure of CeNp3As4, computed with PBE.

Calculated values
Formation energy from the elements ... -0.86 eV per atom
Magnetic moment ... 1.5694 μB/atom

The structure in CIF format:
```
data_CeNp3As4
_cell_length_a 5.8592
_cell_length_b 5.8592
_cell_length_c 5.8592
_cell_angle_alpha 90.00
_cell_angle_beta 90.00
_cell_angle_gamma 90.00
_space_group_name_H-M_alt 'P m -3 m'
_space_group_IT_number 221
_space_group_name_Hall '-P 4 2 3'
loop_
_atom_site_label
_atom_site_type_symbol
_atom_site_fract_x
_atom_site_fract_y
_atom_site_fract_z
Ce1 Ce 0.0000 0.0000 0.0000
Np1 Np 0.0000 0.5000 0.5000
As1 As 0.0000 0.0000 0.5000
As2 As 0.5000 0.5000 0.5000
```

Record 5
An optimized crystal structure of La2InPt2, computed with PBE.

Calculated values
Formation energy from the elements ... -0.89 eV per atom
Magnetic moment ... 0.0000 μB/atom

The structure in CIF format:
```
data_La2InPt2
_cell_length_a 5.7260
_cell_length_b 5.7260
_cell_length_c 8.2593
_cell_angle_alpha 90.00
_cell_angle_beta 90.00
_cell_angle_gamma 90.00
_space_group_name_H-M_alt 'I 4/m m m'
_space_group_IT_number 139
_space_group_name_Hall '-I 4 2'
loop_
_atom_site_label
_atom_site_type_symbol
_atom_site_fract_x
_atom_site_fract_y
_atom_site_fract_z
La1 La 0.0000 0.5000 0.2500
In1 In 0.0000 0.0000 0.0000
Pt1 Pt 0.0000 0.0000 0.3433
```

Record 6
An optimized crystal structure of AlSi2Te, computed with PBE.

Calculated values
Uncorrected formation energy ... 0.333 eV/atom
Magnetic moment ... 0.0000 μB/atom
Energy above the lowest structure with this stoichiometry ... 198 meV per atom

The structure in CIF format:
```
data_AlSi2Te
_cell_length_a 6.7056
_cell_length_b 4.0043
_cell_length_c 6.6523
_cell_angle_alpha 90.00
_cell_angle_beta 111.35
_cell_angle_gamma 90.00
_space_group_name_H-M_alt 'C 1 2/m 1'
_space_group_IT_number 12
loop_
_space_group_symop_operation_xyz
'x,y,z'
'-x,-y,-z'
'-x,y,-z'
'x,-y,z'
'x+1/2,y+1/2,z'
'-x+1/2,-y+1/2,-z'
'-x+1/2,y+1/2,-z'
'x+1/2,-y+1/2,z'
loop_
_atom_site_label
_atom_site_type_symbol
_atom_site_fract_x
_atom_site_fract_y
_atom_site_fract_z
Al1 Al 0.0000 0.0000 0.0000
Si1 Si 0.2350 0.5000 0.2115
Te1 Te 0.0000 0.5000 0.5000
```

Record 7
An optimized crystal structure of MnSb, computed with PBE.

Calculated values
Uncorrected formation energy ... 0.239 eV/atom
Magnetic moment ... 0.0002 μB/atom

The structure in CIF format:
```
data_MnSb
_cell_length_a 7.6600
_cell_length_b 3.1132
_cell_length_c 6.8833
_cell_angle_alpha 90.00
_cell_angle_beta 99.84
_cell_angle_gamma 90.00
_space_group_name_H-M_alt 'C 1 2/m 1'
_space_group_IT_number 12
loop_
_space_group_symop_operation_xyz
'x,y,z'
'-x,-y,-z'
'-x,y,-z'
'x,-y,z'
'x+1/2,y+1/2,z'
'-x+1/2,-y+1/2,-z'
'-x+1/2,y+1/2,-z'
'x+1/2,-y+1/2,z'
loop_
_atom_site_label
_atom_site_type_symbol
_atom_site_fract_x
_atom_site_fract_y
_atom_site_fract_z
Mn1 Mn 0.1378 0.0000 0.4547
Sb1 Sb 0.1079 0.5000 0.7727
```

Record 8
An optimized crystal structure of TlPd6Au, computed with PBE.

Calculated values
Formation energy from the elements ... -0.02 eV per atom
Magnetic moment ... 0.0000 μB/atom
Energy above the lowest structure with this stoichiometry ... 82 meV per atom

The structure in CIF format:
```
data_TlPd6Au
_cell_length_a 5.1705
_cell_length_b 5.1724
_cell_length_c 5.1910
_cell_angle_alpha 94.70
_cell_angle_beta 94.98
_cell_angle_gamma 94.85
_space_group_name_H-M_alt 'P -1'
_space_group_IT_number 2
loop_
_space_group_symop_operation_xyz
'x,y,z'
'-x,-y,-z'
loop_
_atom_site_label
_atom_site_type_symbol
_atom_site_fract_x
_atom_site_fract_y
_atom_site_fract_z
Tl1 Tl 0.0000 0.0000 0.0000
Pd1 Pd 0.0456 0.7484 0.4560
Pd2 Pd 0.2518 0.5438 0.9528
Pd3 Pd 0.4571 0.0452 0.7478
Au1 Au 0.5000 0.5000 0.5000
```

Record 9
An optimized crystal structure of ScTl2Pb, computed with PBE.

Calculated values
Formation energy from the elements ... -0.02 eV per atom
Magnetic moment ... 0.0000 μB/atom

The structure in CIF format:
```
data_ScTl2Pb
_cell_length_a 3.6962
_cell_length_b 5.6780
_cell_length_c 10.8312
_cell_angle_alpha 90.00
_cell_angle_beta 90.00
_cell_angle_gamma 90.00
_space_group_name_H-M_alt 'C m m 2'
_space_group_IT_number 35
loop_
_space_group_symop_operation_xyz
'x,y,z'
'-x,-y,z'
'-x,y,z'
'x,-y,z'
'x+1/2,y+1/2,z'
'-x+1/2,-y+1/2,z'
'-x+1/2,y+1/2,z'
'x+1/2,-y+1/2,z'
loop_
_atom_site_label
_atom_site_type_symbol
_atom_site_fract_x
_atom_site_fract_y
_atom_site_fract_z
Sc1 Sc 0.0000 0.0000 0.0000
Tl1 Tl 0.0000 0.0000 0.4900
Tl2 Tl 0.0000 0.5000 0.2265
Pb1 Pb 0.0000 0.5000 0.7676
```

Record 10
An optimized crystal structure of RbBa2P2, computed with PBE.

Calculated values
Formation energy from the elements ... -0.46 eV per atom
Magnetic moment ... 0.0000 μB/atom
Energy above the lowest structure with this stoichiometry ... 166 meV per atom

The structure in CIF format:
```
data_RbBa2P2
_cell_length_a 5.9250
_cell_length_b 5.9250
_cell_length_c 12.1300
_cell_angle_alpha 90.00
_cell_angle_beta 90.00
_cell_angle_gamma 90.00
_space_group_name_H-M_alt 'I 4/m m m'
_space_group_IT_number 139
_space_group_name_Hall '-I 4 2'
loop_
_atom_site_label
_atom_site_type_symbol
_atom_site_fract_x
_atom_site_fract_y
_atom_site_fract_z
Rb1 Rb 0.0000 0.0000 0.0000
Ba1 Ba 0.0000 0.0000 0.3283
P1 P 0.0000 0.5000 0.2500
```

Record 11
An optimized crystal structure of K4LaTl, computed with PBE.

Calculated values
Formation energy from the elements ... 0.44 eV per atom
Magnetic moment ... 0.0703 μB/atom

The structure in CIF format:
```
data_K4LaTl
_cell_length_a 10.6115
_cell_length_b 10.6115
_cell_length_c 10.6115
_cell_angle_alpha 90.00
_cell_angle_beta 90.00
_cell_angle_gamma 90.00
_space_group_name_H-M_alt 'F -4 3 m'
_space_group_IT_number 216
_space_group_name_Hall 'F -4 2 3'
loop_
_atom_site_label
_atom_site_type_symbol
_atom_site_fract_x
_atom_site_fract_y
_atom_site_fract_z
K1 K 0.1239 0.1239 0.1239
La1 La 0.0000 0.0000 0.5000
Tl1 Tl 0.2500 0.2500 0.7500
```

Record 12
An optimized crystal structure of Pr4IrI2N, computed with PBE.

Calculated values
Uncorrected formation energy ... -0.976 eV/atom
Magnetic moment ... 0.0000 μB/atom

The structure in CIF format:
```
data_Pr4IrI2N
_cell_length_a 7.1638
_cell_length_b 3.9962
_cell_length_c 8.3571
_cell_angle_alpha 90.00
_cell_angle_beta 106.64
_cell_angle_gamma 90.00
_space_group_name_H-M_alt 'P 1 2/m 1'
_space_group_IT_number 10
loop_
_space_group_symop_operation_xyz
'x,y,z'
'-x,-y,-z'
'-x,y,-z'
'x,-y,z'
loop_
_atom_site_label
_atom_site_type_symbol
_atom_site_fract_x
_atom_site_fract_y
_atom_site_fract_z
Pr1 Pr 0.2003 0.0000 0.1738
Pr2 Pr 0.2525 0.5000 0.8201
Ir1 Ir 0.5000 0.0000 0.0000
I1 I 0.0000 0.0000 0.5000
I2 I 0.5000 0.5000 0.5000
N1 N 0.0000 0.5000 0.0000
```

Record 13
An optimized crystal structure of TlBiPb2, computed with PBE.

Calculated values
Formation energy from the elements ... 0.07 eV per atom
Magnetic moment ... 0.0000 μB/atom
Energy above the lowest structure with this stoichiometry ... 77 meV per atom

The structure in CIF format:
```
data_TlBiPb2
_cell_length_a 5.3485
_cell_length_b 5.3485
_cell_length_c 17.4103
_cell_angle_alpha 90.00
_cell_angle_beta 90.00
_cell_angle_gamma 120.00
_space_group_name_H-M_alt 'R 3 m'
_space_group_IT_number 160
_space_group_name_Hall 'R 3 -2"'
loop_
_atom_site_label
_atom_site_type_symbol
_atom_site_fract_x
_atom_site_fract_y
_atom_site_fract_z
Tl1 Tl 0.0000 0.0000 0.0000
Bi1 Bi 0.0000 0.0000 0.1907
Pb1 Pb 0.0000 0.0000 0.5891
Pb2 Pb 0.0000 0.0000 0.7817
```

Record 14
An optimized crystal structure of FeAs2Os, computed with PBE.

Calculated values
Formation energy from the elements ... 0.26 eV per atom
Magnetic moment ... 0.2018 μB/atom
Energy above the lowest structure with this stoichiometry ... 146 meV per atom

The structure in CIF format:
```
data_FeAs2Os
_cell_length_a 2.9493
_cell_length_b 2.9493
_cell_length_c 22.6182
_cell_angle_alpha 90.00
_cell_angle_beta 90.00
_cell_angle_gamma 120.00
_space_group_name_H-M_alt 'R -3 m'
_space_group_IT_number 166
_space_group_name_Hall '-R 3 2"'
loop_
_atom_site_label
_atom_site_type_symbol
_atom_site_fract_x
_atom_site_fract_y
_atom_site_fract_z
Fe1 Fe 0.0000 0.0000 0.0000
As1 As 0.0000 0.0000 0.2541
Os1 Os 0.0000 0.0000 0.5000
```

Record 15
An optimized crystal structure of KAgCl2, computed with PBE.

Calculated values
Uncorrected formation energy ... -1.188 eV/atom
Magnetic moment ... 0.0000 μB/atom

The structure in CIF format:
```
data_KAgCl2
_cell_length_a 4.7873
_cell_length_b 4.7873
_cell_length_c 23.3760
_cell_angle_alpha 90.00
_cell_angle_beta 90.00
_cell_angle_gamma 120.00
_space_group_name_H-M_alt 'R -3 m'
_space_group_IT_number 166
_space_group_name_Hall '-R 3 2"'
loop_
_atom_site_label
_atom_site_type_symbol
_atom_site_fract_x
_atom_site_fract_y
_atom_site_fract_z
K1 K 0.0000 0.0000 0.0000
Ag1 Ag 0.0000 0.0000 0.5000
Cl1 Cl 0.0000 0.0000 0.3995
```

Record 16
An optimized crystal structure of Er2TmScTl4, computed with PBE.

Calculated values
Formation energy from the elements ... -0.29 eV per atom
Magnetic moment ... 0.0000 μB/atom

The structure in CIF format:
```
data_Er2TmScTl4
_cell_length_a 5.2686
_cell_length_b 5.2686
_cell_length_c 25.8877
_cell_angle_alpha 90.00
_cell_angle_beta 90.00
_cell_angle_gamma 120.00
_space_group_name_H-M_alt 'R -3 m'
_space_group_IT_number 166
_space_group_name_Hall '-R 3 2"'
loop_
_atom_site_label
_atom_site_type_symbol
_atom_site_fract_x
_atom_site_fract_y
_atom_site_fract_z
Er1 Er 0.0000 0.0000 0.2491
Tm1 Tm 0.0000 0.0000 0.0000
Sc1 Sc 0.0000 0.0000 0.5000
Tl1 Tl 0.0000 0.0000 0.1261
Tl2 Tl 0.0000 0.0000 0.3762
```

Record 17
An optimized crystal structure of V2NiRh, computed with PBE.

Calculated values
Formation energy from the elements ... -0.18 eV per atom
Magnetic moment ... 0.0000 μB/atom

The structure in CIF format:
```
data_V2NiRh
_cell_length_a 2.6751
_cell_length_b 9.8813
_cell_length_c 7.8541
_cell_angle_alpha 90.00
_cell_angle_beta 90.00
_cell_angle_gamma 90.00
_space_group_name_H-M_alt 'C m c m'
_space_group_IT_number 63
_space_group_name_Hall '-C 2c 2'
loop_
_atom_site_label
_atom_site_type_symbol
_atom_site_fract_x
_atom_site_fract_y
_atom_site_fract_z
V1 V 0.0000 0.1279 0.0227
Ni1 Ni 0.0000 0.2556 0.7500
Rh1 Rh 0.0000 0.4756 0.2500
```

Record 18
An optimized crystal structure of Rb2AgPBr6, computed with PBE.

Calculated values
Uncorrected formation energy ... -0.868 eV/atom
Magnetic moment ... 0.0000 μB/atom

The structure in CIF format:
```
data_Rb2AgPBr6
_cell_length_a 10.8492
_cell_length_b 10.8492
_cell_length_c 10.8492
_cell_angle_alpha 90.00
_cell_angle_beta 90.00
_cell_angle_gamma 90.00
_space_group_name_H-M_alt 'F m -3 m'
_space_group_IT_number 225
_space_group_name_Hall '-F 4 2 3'
loop_
_atom_site_label
_atom_site_type_symbol
_atom_site_fract_x
_atom_site_fract_y
_atom_site_fract_z
Rb1 Rb 0.2500 0.2500 0.2500
Ag1 Ag 0.0000 0.0000 0.0000
P1 P 0.0000 0.0000 0.5000
Br1 Br 0.0000 0.0000 0.2606
```

Record 19
An optimized crystal structure of Ac2AlIr3O12, computed with PBE.

Calculated values
Uncorrected formation energy ... -1.643 eV/atom
Magnetic moment ... 0.2166 μB/atom

The structure in CIF format:
```
data_Ac2AlIr3O12
_cell_length_a 7.1360
_cell_length_b 7.1360
_cell_length_c 17.1830
_cell_angle_alpha 90.00
_cell_angle_beta 90.00
_cell_angle_gamma 120.00
_space_group_name_H-M_alt 'R -3 m'
_space_group_IT_number 166
_space_group_name_Hall '-R 3 2"'
loop_
_atom_site_label
_atom_site_type_symbol
_atom_site_fract_x
_atom_site_fract_y
_atom_site_fract_z
Ac1 Ac 0.0000 0.0000 0.1791
Al1 Al 0.0000 0.0000 0.5000
Ir1 Ir 0.0000 0.5000 0.0000
O1 O 0.0710 0.5355 0.3725
O2 O 0.0712 0.5356 0.1101
```

Record 20
An optimized crystal structure of Nb2ZnO, computed with PBE.

Calculated values
Uncorrected formation energy ... -0.261 eV/atom
Magnetic moment ... 0.0001 μB/atom
Energy above the lowest structure with this stoichiometry ... 0 meV per atom

The structure in CIF format:
```
data_Nb2ZnO
_cell_length_a 4.5493
_cell_length_b 4.5493
_cell_length_c 15.4882
_cell_angle_alpha 90.00
_cell_angle_beta 90.00
_cell_angle_gamma 120.00
_space_group_name_H-M_alt 'R -3 m'
_space_group_IT_number 166
_space_group_name_Hall '-R 3 2"'
loop_
_atom_site_label
_atom_site_type_symbol
_atom_site_fract_x
_atom_site_fract_y
_atom_site_fract_z
Nb1 Nb 0.0000 0.0000 0.1236
Zn1 Zn 0.0000 0.0000 0.5000
O1 O 0.0000 0.0000 0.0000
```